Entry 1:
{"formula": "TaSbP", "functional": "GGA-PBE", "state": "optimized geometry", "lattice": [[4.3711, 0.0000, 0.0000], [-2.1856, 3.7855, 0.0000], [0.0000, 0.0000, 3.5081]], "species": ["Ta", "Sb", "P"], "frac_coords": [[0.0000, 0.0000, 0.0000], [0.6667, 0.3333, 0.5000], [0.3333, 0.6667, 0.0000]], "formation_energy_uncorrected_ev_per_fu": -0.07, "space_group": "P-6m2", "vol_a3_per_fu": 58}

Entry 2:
{"formula": "BaCaCr", "functional": "GGA-PBE", "state": "optimized geometry", "lattice": [[4.1385, 0.0000, 0.0000], [-0.1563, 6.2520, 0.0000], [-0.0556, -1.9200, 8.8097]], "species": ["Ba", "Ba", "Ca", "Ca", "Cr", "Cr"], "frac_coords": [[0.2436, 0.2072, 0.3430], [0.7564, 0.7928, 0.6570], [0.2394, 0.3425, 0.8458], [0.7606, 0.6575, 0.1542], [0.3071, 0.9265, 0.9770], [0.6929, 0.0735, 0.0230]], "formation_energy_mev_per_atom": 505, "space_group": "P-1", "vol_a3_per_fu": 114}

Entry 3:
{"formula": "ScTcRu3", "functional": "GGA-PBE", "state": "optimized geometry", "lattice": [[4.4844, 0.0000, 0.0000], [0.0000, 4.4844, 0.0000], [0.0000, 0.0000, 4.4844]], "species": ["Sc", "Tc", "Ru", "Ru", "Ru"], "frac_coords": [[0.0000, 0.0000, 0.0000], [0.5000, 0.5000, 0.5000], [0.0000, 0.0000, 0.5000], [0.0000, 0.5000, 0.0000], [0.5000, 0.0000, 0.0000]], "formation_energy_mev_per_atom": 1809, "space_group": "Pm-3m", "vol_a3_per_fu": 90}

Entry 4:
{"formula": "CdInRh2Au", "functional": "GGA-PBE", "state": "optimized geometry", "lattice": [[4.9145, 0.0000, 0.0000], [0.0000, 4.9145, 0.0000], [0.0000, 0.0000, 4.9985]], "species": ["Cd", "In", "Rh", "Rh", "Au"], "frac_coords": [[0.0000, 0.0000, 0.0000], [0.5000, 0.5000, 0.5000], [0.0000, 0.5000, 0.5000], [0.5000, 0.0000, 0.5000], [0.5000, 0.5000, 0.0000]], "formation_energy_mev_per_atom": 888, "space_group": "P4/mmm", "vol_a3_per_fu": 121}

Entry 5:
{"formula": "BeTc2Ru", "functional": "GGA-PBE", "state": "optimized geometry", "lattice": [[-1.7753, 1.7753, 8.9871], [1.7753, -1.7753, 8.9871], [1.7753, 1.7753, -8.9871]], "species": ["Be", "Be", "Tc", "Tc", "Tc", "Tc", "Ru", "Ru"], "frac_coords": [[0.0000, 0.0000, 0.0000], [0.7500, 0.2500, 0.5000], [0.0955, 0.6250, 0.9705], [0.3750, 0.3455, 0.4705], [0.6545, 0.1250, 0.0295], [0.8750, 0.9045, 0.5295], [0.2500, 0.7500, 0.5000], [0.5000, 0.5000, 0.0000]], "formation_energy_mev_per_atom": 460, "space_group": "I-42d", "vol_a3_per_fu": 57}

Entry 6:
{"formula": "CoCu2Mo", "functional": "GGA-PBE", "state": "optimized geometry", "lattice": [[2.5245, 0.0000, 0.0000], [0.0000, 3.9150, 0.0000], [0.0000, 0.0000, 5.1701]], "species": ["Co", "Cu", "Cu", "Mo"], "frac_coords": [[0.0000, 0.0000, 0.0000], [0.5000, 0.5000, 0.2393], [0.5000, 0.5000, 0.7607], [0.0000, 0.0000, 0.5000]], "formation_energy_mev_per_atom": 257, "space_group": "Pmmm", "vol_a3_per_fu": 51}

Entry 7:
{"formula": "Cd6Ag2Pb", "functional": "GGA-PBE", "state": "optimized geometry", "lattice": [[-1.6439, 4.2630, 7.4673], [1.6439, -4.2630, 7.4673], [1.6439, 4.2630, -7.4673]], "species": ["Cd", "Cd", "Cd", "Cd", "Cd", "Cd", "Ag", "Ag", "Pb"], "frac_coords": [[0.1264, 0.3306, 0.7957], [0.1689, 0.0000, 0.1689], [0.4651, 0.6694, 0.7957], [0.5349, 0.3306, 0.2043], [0.8311, 0.0000, 0.8311], [0.8736, 0.6694, 0.2043], [0.1721, 0.1721, 0.0000], [0.8279, 0.8279, 0.0000], [0.5000, 0.5000, 0.0000]], "formation_energy_mev_per_atom": 36, "space_group": "Immm", "vol_a3_per_fu": 209}

Entry 8:
{"formula": "FeTeN2Cl", "functional": "GGA-PBE", "state": "optimized geometry", "lattice": [[3.9917, 0.0000, 0.0000], [0.0000, 3.9917, 0.0000], [0.0000, 0.0000, 5.4172]], "species": ["Fe", "Te", "N", "N", "Cl"], "frac_coords": [[0.0000, 0.0000, 0.0000], [0.5000, 0.5000, 0.0000], [0.0000, 0.5000, 0.5000], [0.5000, 0.0000, 0.5000], [0.5000, 0.5000, 0.5000]], "formation_energy_uncorrected_ev_per_fu": 11.63, "space_group": "P4/mmm", "vol_a3_per_fu": 86}

Entry 9:
{"formula": "InPbBrCl2", "functional": "GGA-PBE", "state": "optimized geometry", "lattice": [[5.6447, 0.0000, 0.0000], [0.0000, 5.6447, 0.0000], [0.0000, 0.0000, 5.9869]], "species": ["In", "Pb", "Br", "Cl", "Cl"], "frac_coords": [[0.0000, 0.0000, 0.0000], [0.5000, 0.5000, 0.5000], [0.5000, 0.5000, 0.0000], [0.0000, 0.5000, 0.5000], [0.5000, 0.0000, 0.5000]], "formation_energy_uncorrected_ev_per_fu": -4.28, "space_group": "P4/mmm", "vol_a3_per_fu": 191}

Entry 10:
{"formula": "SrAg2SbCl8", "functional": "GGA-PBE", "state": "optimized geometry", "lattice": [[6.4063, 0.0000, 0.0000], [-0.1024, 6.4791, 0.0000], [-0.4894, -0.4491, 8.3702]], "species": ["Sr", "Ag", "Ag", "Sb", "Cl", "Cl", "Cl", "Cl", "Cl", "Cl", "Cl", "Cl"], "frac_coords": [[0.0000, 0.0000, 0.0000], [0.4889, 0.4901, 0.7529], [0.5111, 0.5099, 0.2471], [0.0000, 0.0000, 0.5000], [0.2045, 0.8058, 0.2800], [0.2148, 0.8155, 0.7229], [0.2793, 0.2992, 0.5169], [0.3003, 0.3266, 0.0156], [0.6997, 0.6734, 0.9844], [0.7207, 0.7008, 0.4831], [0.7852, 0.1845, 0.2771], [0.7955, 0.1942, 0.7200]], "formation_energy_uncorrected_ev_per_fu": -12.48, "space_group": "P-1", "vol_a3_per_fu": 347}

Entry 11:
{"formula": "In2CoNi", "functional": "GGA-PBE", "state": "optimized geometry", "lattice": [[0.0000, 3.1481, 3.1481], [3.1481, 0.0000, 3.1481], [3.1481, 3.1481, 0.0000]], "species": ["In", "In", "Co", "Ni"], "frac_coords": [[0.2500, 0.2500, 0.2500], [0.7500, 0.7500, 0.7500], [0.0000, 0.0000, 0.0000], [0.5000, 0.5000, 0.5000]], "formation_energy_mev_per_atom": 40, "space_group": "Fm-3m", "vol_a3_per_fu": 62}

Entry 12:
{"formula": "Pm3Pr5Dy", "functional": "GGA-PBE", "state": "optimized geometry", "lattice": [[8.5309, -4.2636, 0.0000], [8.5309, 4.2636, 0.0000], [-8.3173, 0.0000, 9.3541]], "species": ["Pm", "Pm", "Pm", "Pm", "Pm", "Pm", "Pr", "Pr", "Pr", "Pr", "Pr", "Pr", "Pr", "Pr", "Pr", "Pr", "Dy", "Dy"], "frac_coords": [[0.0000, 0.0000, 0.0000], [0.0000, 0.0000, 0.5000], [0.1553, 0.1553, 0.3498], [0.2926, 0.2926, 0.6950], [0.7074, 0.7074, 0.3050], [0.8447, 0.8447, 0.6502], [0.0931, 0.4824, 0.2262], [0.3156, 0.6844, 0.0000], [0.3619, 0.3619, 0.0524], [0.4398, 0.4398, 0.5820], [0.4824, 0.0931, 0.2262], [0.5176, 0.9069, 0.7738], [0.5602, 0.5602, 0.4180], [0.6381, 0.6381, 0.9476], [0.6844, 0.3156, 0.0000], [0.9069, 0.5176, 0.7738], [0.1120, 0.1120, 0.8722], [0.8880, 0.8880, 0.1278]], "formation_energy_mev_per_atom": 377, "space_group": "C2/m", "vol_a3_per_fu": 340}

Entry 13:
{"formula": "Ti3CuGe", "functional": "GGA-PBE", "state": "optimized geometry", "lattice": [[4.5471, 0.0000, 0.0000], [0.0000, 4.5471, 0.0000], [0.0000, 0.0000, 4.5471]], "species": ["Ti", "Ti", "Ti", "Cu", "Ge"], "frac_coords": [[0.0000, 0.0000, 0.5000], [0.0000, 0.5000, 0.0000], [0.5000, 0.0000, 0.0000], [0.0000, 0.0000, 0.0000], [0.5000, 0.5000, 0.5000]], "formation_energy_mev_per_atom": 441, "space_group": "Pm-3m", "vol_a3_per_fu": 94}

Entry 14:
{"formula": "DyHS", "functional": "GGA-PBE", "state": "optimized geometry", "lattice": [[0.0000, 3.0605, 3.0605], [3.0605, 0.0000, 3.0605], [3.0605, 3.0605, 0.0000]], "species": ["Dy", "H", "S"], "frac_coords": [[0.0000, 0.0000, 0.0000], [0.2500, 0.2500, 0.2500], [0.7500, 0.7500, 0.7500]], "space_group": "F-43m", "vol_a3_per_fu": 57, "e_tot_ev_per_atom": -5.29}

Entry 15:
{"formula": "CoNi4Ir", "functional": "GGA-PBE", "state": "optimized geometry", "lattice": [[5.0949, 0.0000, 0.0000], [2.5461, 4.4265, 0.0000], [1.2782, 0.7363, 6.2024]], "species": ["Co", "Co", "Ni", "Ni", "Ni", "Ni", "Ni", "Ni", "Ni", "Ni", "Ir", "Ir"], "frac_coords": [[0.1360, 0.1421, 0.1712], [0.8640, 0.8579, 0.8288], [0.1376, 0.6357, 0.1665], [0.2477, 0.2507, 0.4994], [0.2476, 0.7527, 0.4977], [0.3559, 0.3648, 0.8323], [0.6441, 0.6352, 0.1677], [0.7524, 0.2473, 0.5023], [0.7523, 0.7493, 0.5006], [0.8624, 0.3643, 0.8335], [0.3606, 0.8628, 0.8321], [0.6394, 0.1372, 0.1679]], "formation_energy_mev_per_atom": 19, "space_group": "P-1", "vol_a3_per_fu": 70}

Entry 16:
{"formula": "KCd3Cu", "functional": "GGA-PBE", "state": "optimized geometry", "lattice": [[6.5056, 0.0000, 0.0000], [0.0000, 6.5056, 0.0000], [0.0000, 0.0000, 6.5056]], "species": ["K", "Cd", "Cd", "Cd", "Cu"], "frac_coords": [[0.0000, 0.0000, 0.0000], [0.0000, 0.0000, 0.5000], [0.0000, 0.5000, 0.0000], [0.5000, 0.0000, 0.0000], [0.5000, 0.5000, 0.5000]], "formation_energy_mev_per_atom": 910, "space_group": "Pm-3m", "vol_a3_per_fu": 275}

Entry 17:
{"formula": "LiGeRuO4", "functional": "GGA-PBE", "state": "optimized geometry", "lattice": [[2.8114, -4.4160, 0.0000], [2.8114, 4.4160, 0.0000], [0.0000, 0.0000, 6.0991]], "species": ["Li", "Li", "Ge", "Ge", "Ru", "Ru", "O", "O", "O", "O", "O", "O", "O", "O"], "frac_coords": [[0.1557, 0.8443, 0.7500], [0.8443, 0.1557, 0.2500], [0.1611, 0.8389, 0.2500], [0.8389, 0.1611, 0.7500], [0.5000, 0.5000, 0.0000], [0.5000, 0.5000, 0.5000], [0.2237, 0.2565, 0.7500], [0.2565, 0.2237, 0.2500], [0.2685, 0.7315, 0.0094], [0.2685, 0.7315, 0.4906], [0.7315, 0.2685, 0.5094], [0.7315, 0.2685, 0.9906], [0.7435, 0.7763, 0.7500], [0.7763, 0.7435, 0.2500]], "formation_energy_uncorrected_ev_per_fu": -9.44, "space_group": "Cmcm", "vol_a3_per_fu": 76}

Entry 18:
{"formula": "Li5Ac2Ni4", "functional": "GGA-PBE", "state": "optimized geometry", "lattice": [[6.5094, -2.6212, 0.0000], [6.5094, 2.6212, 0.0000], [-4.4934, 0.0000, 6.2255]], "species": ["Li", "Li", "Li", "Li", "Li", "Ac", "Ac", "Ni", "Ni", "Ni", "Ni"], "frac_coords": [[0.0000, 0.0000, 0.0000], [0.2087, 0.6973, 0.6390], [0.3027, 0.7913, 0.3610], [0.6973, 0.2087, 0.6390], [0.7913, 0.3027, 0.3610], [0.2753, 0.2753, 0.8343], [0.7247, 0.7247, 0.1657], [0.2330, 0.2330, 0.4155], [0.3630, 0.3630, 0.2937], [0.6370, 0.6370, 0.7063], [0.7670, 0.7670, 0.5845]], "formation_energy_mev_per_atom": -27, "space_group": "C2/m", "vol_a3_per_fu": 212}

Entry 19:
{"formula": "MnCd5Pd6", "functional": "GGA-PBE", "state": "optimized geometry", "lattice": [[2.1436, -6.4479, 0.0000], [2.1436, 6.4479, 0.0000], [0.0000, 0.0000, 7.4214]], "species": ["Mn", "Cd", "Cd", "Cd", "Cd", "Cd", "Pd", "Pd", "Pd", "Pd", "Pd", "Pd"], "frac_coords": [[0.0000, 0.0000, 0.0000], [0.0000, 0.0000, 0.5000], [0.3333, 0.6667, 0.5000], [0.3340, 0.6660, 0.0000], [0.6660, 0.3340, 0.0000], [0.6667, 0.3333, 0.5000], [0.1631, 0.8369, 0.2450], [0.1631, 0.8369, 0.7550], [0.5000, 0.5000, 0.2398], [0.5000, 0.5000, 0.7602], [0.8369, 0.1631, 0.2450], [0.8369, 0.1631, 0.7550]], "formation_energy_mev_per_atom": -366, "space_group": "Cmmm", "vol_a3_per_fu": 205}

Entry 20:
{"formula": "Mn3HOs", "functional": "GGA-PBE", "state": "optimized geometry", "lattice": [[2.2007, 1.2706, 6.3078], [-2.2007, 1.2706, 6.3078], [0.0000, -2.5411, 6.3078]], "species": ["Mn", "Mn", "Mn", "Mn", "Mn", "Mn", "H", "H", "Os", "Os"], "frac_coords": [[0.1237, 0.7592, 0.4595], [0.2408, 0.5405, 0.8763], [0.4595, 0.1237, 0.7592], [0.5405, 0.8763, 0.2408], [0.7592, 0.4595, 0.1237], [0.8763, 0.2408, 0.5405], [0.1621, 0.1621, 0.1621], [0.8379, 0.8379, 0.8379], [0.3334, 0.3334, 0.3334], [0.6666, 0.6666, 0.6666]], "space_group": "R-3", "vol_a3_per_fu": 53, "e_tot_ev_per_atom": -8.19}